Record 1
{
  "formula": "Er2HfIn",
  "functional": "GGA-PBE",
  "state": "optimized geometry",
  "final_energy_ev_per_atom": -5.544,
  "formation_enthalpy_0k_ev_per_atom": -0.089,
  "n_ef_per_ev_cell": 4.19,
  "vol_a3_per_atom": 26.539,
  "cell": [[-3.3928, -0.0668, 0.2519], [-1.5447, -2.6482, 1.4765], [-1.0458, 3.9727, 9.9524]],
  "species": ["In", "Hf", "Er", "Er"],
  "frac_coords": [[0.0000, 0.0000, 0.0000], [0.5000, 0.5000, 0.5000], [0.2490, 0.2490, 0.2531], [0.7510, 0.7510, 0.7469]]
}

=====

Record 2
{
  "formula": "UTa2Re",
  "functional": "GGA-PBE",
  "state": "optimized geometry",
  "final_energy_ev_per_atom": -11.802,
  "formation_enthalpy_0k_ev_per_atom": 0.059,
  "n_ef_per_ev_cell": 6.34,
  "vol_a3_per_atom": 18.867,
  "cell": [[3.1157, 0.0000, 0.0000], [0.0000, 3.1157, 0.0000], [0.0000, 0.0000, 7.7741]],
  "species": ["Re", "U", "Ta", "Ta"],
  "frac_coords": [[0.5000, 0.5000, 0.0000], [0.5000, 0.5000, 0.5000], [0.0000, 0.0000, 0.7900], [0.0000, 0.0000, 0.2100]]
}

=====

Record 3
{
  "formula": "CsScHgCl6",
  "functional": "GGA-PBE",
  "state": "optimized geometry",
  "final_energy_ev_per_atom": -3.665,
  "e_form_raw_ev_per_atom": -1.602,
  "n_ef_per_ev_cell": 0.00,
  "vol_a3_per_atom": 35.130,
  "cell": [[6.8940, -0.0007, 0.0000], [3.4464, 5.9697, 0.0007], [0.0003, 0.0006, 7.6819]],
  "species": ["Cs", "Sc", "Hg", "Cl", "Cl", "Cl", "Cl", "Cl", "Cl"],
  "frac_coords": [[0.0000, 0.0000, 0.0000], [0.6667, 0.6667, 0.5000], [0.3333, 0.3333, 0.5000], [0.9779, 0.3920, 0.3063], [0.3919, 0.9780, 0.6937], [0.6300, 0.3920, 0.6938], [0.9779, 0.6301, 0.6938], [0.3920, 0.6301, 0.3062], [0.6300, 0.9780, 0.3062]]
}

=====

Record 4
{
  "formula": "NaB2S3",
  "functional": "GGA-PBE",
  "state": "optimized geometry",
  "final_energy_ev_per_atom": -4.785,
  "e_form_raw_ev_per_atom": -0.275,
  "n_ef_per_ev_cell": 0.98,
  "vol_a3_per_atom": 17.454,
  "cell": [[3.6350, 0.0000, 0.0000], [0.0000, 6.2716, -1.0364], [-1.8175, -2.8461, 9.6575]],
  "species": ["Na", "Na", "B", "B", "B", "B", "S", "S", "S", "S", "S", "S"],
  "frac_coords": [[0.3587, 0.1622, 0.7174], [0.6413, 0.8378, 0.2826], [0.3026, 0.6063, 0.6053], [0.6974, 0.3937, 0.3947], [0.9427, 0.8087, 0.8854], [0.0573, 0.1913, 0.1146], [0.2207, 0.2915, 0.4413], [0.0450, 0.8773, 0.0901], [0.4006, 0.6443, 0.8012], [0.7793, 0.7085, 0.5587], [0.5994, 0.3557, 0.1988], [0.9550, 0.1227, 0.9099]]
}

=====

Record 5
{
  "formula": "TaReTc2",
  "functional": "GGA-PBE",
  "state": "optimized geometry",
  "final_energy_ev_per_atom": -11.137,
  "formation_enthalpy_0k_ev_per_atom": 0.122,
  "n_ef_per_ev_cell": 4.84,
  "vol_a3_per_atom": 15.669,
  "cell": [[9.4376, 0.0191, 0.0112], [9.0197, 2.7774, 0.0112], [9.0197, 1.3666, 2.4179]],
  "species": ["Re", "Ta", "Tc", "Tc"],
  "frac_coords": [[0.2500, 0.2500, 0.2500], [0.7500, 0.7500, 0.7500], [0.9955, 0.9955, 0.9955], [0.5045, 0.5045, 0.5045]]
}

=====

Record 6
{
  "formula": "Pr3Y6Tl",
  "functional": "GGA-PBE",
  "state": "optimized geometry",
  "final_energy_ev_per_atom": -5.558,
  "formation_enthalpy_0k_ev_per_atom": -0.009,
  "n_ef_per_ev_cell": 31.85,
  "vol_a3_per_atom": 32.799,
  "cell": [[-1.7415, -2.3644, 2.0728], [9.8614, -2.2535, 5.7147], [-2.8351, 11.3200, 10.5309]],
  "species": ["Pr", "Pr", "Pr", "Pr", "Pr", "Pr", "Y", "Y", "Y", "Y", "Y", "Y", "Y", "Y", "Y", "Y", "Y", "Y", "Tl", "Tl"],
  "frac_coords": [[0.2500, 0.1192, 0.6437], [0.7500, 0.8808, 0.3563], [0.2500, 0.3856, 0.3399], [0.7500, 0.6144, 0.6601], [0.2500, 0.0994, 0.8414], [0.7500, 0.9006, 0.1586], [0.2500, 0.3868, 0.5588], [0.7500, 0.6132, 0.4412], [0.2500, 0.8705, 0.9709], [0.7500, 0.1295, 0.0291], [0.2500, 0.8532, 0.5553], [0.7500, 0.1468, 0.4447], [0.2500, 0.6454, 0.2307], [0.7500, 0.3546, 0.7693], [0.2500, 0.6057, 0.8646], [0.7500, 0.3943, 0.1354], [0.2500, 0.1391, 0.2386], [0.7500, 0.8609, 0.7614], [0.2500, 0.3494, 0.9510], [0.7500, 0.6506, 0.0490]]
}

=====

Record 7
{
  "formula": "ScAlPb2",
  "functional": "GGA-PBE",
  "state": "optimized geometry",
  "final_energy_ev_per_atom": -4.416,
  "formation_enthalpy_0k_ev_per_atom": -0.043,
  "n_ef_per_ev_cell": 2.87,
  "vol_a3_per_atom": 24.593,
  "cell": [[3.6731, 0.0000, 0.0000], [0.0000, 4.1250, 0.0000], [0.0000, 0.0000, 6.4923]],
  "species": ["Pb", "Pb", "Sc", "Al"],
  "frac_coords": [[0.0000, 0.0000, 0.9958], [0.0000, 0.0000, 0.5042], [0.5000, 0.5000, 0.2500], [0.5000, 0.5000, 0.7500]]
}

=====

Record 8
{
  "formula": "YB2Ru2",
  "functional": "GGA-PBE",
  "state": "optimized geometry",
  "final_energy_ev_per_atom": -7.777,
  "formation_enthalpy_0k_ev_per_atom": -0.103,
  "n_ef_per_ev_cell": 6.20,
  "vol_a3_per_atom": 12.893,
  "cell": [[6.5634, 0.0000, 0.0000], [0.0000, 6.5634, 0.0000], [0.0000, 0.0000, 2.9928]],
  "species": ["Y", "Y", "Ru", "Ru", "Ru", "Ru", "B", "B", "B", "B"],
  "frac_coords": [[0.0000, 0.0000, 0.0000], [0.5000, 0.5000, 0.0000], [0.1520, 0.6520, 0.5000], [0.6520, 0.8480, 0.5000], [0.8480, 0.3480, 0.5000], [0.3480, 0.1520, 0.5000], [0.3978, 0.8978, 0.0000], [0.8978, 0.6022, 0.0000], [0.6022, 0.1022, 0.0000], [0.1022, 0.3978, 0.0000]]
}

=====

Record 9
{
  "formula": "RePb2Cl",
  "functional": "GGA-PBE",
  "state": "optimized geometry",
  "final_energy_ev_per_atom": -4.910,
  "e_form_raw_ev_per_atom": 0.518,
  "n_ef_per_ev_cell": 3.49,
  "vol_a3_per_atom": 27.336,
  "cell": [[8.0660, 0.0322, 0.0130], [6.1486, 5.2208, -0.0130], [-6.7931, -3.4766, 2.6131]],
  "species": ["Cl", "Pb", "Pb", "Re"],
  "frac_coords": [[0.2769, 0.7769, 0.5000], [0.0035, 0.0035, 0.0000], [0.6948, 0.1948, 0.5000], [0.5248, 0.5248, 0.0000]]
}

=====

Record 10
{
  "formula": "ZrGaF2",
  "functional": "GGA-PBE",
  "state": "optimized geometry",
  "final_energy_ev_per_atom": -5.643,
  "e_form_raw_ev_per_atom": -1.813,
  "n_ef_per_ev_cell": 5.59,
  "vol_a3_per_atom": 16.290,
  "cell": [[-4.0449, -0.2877, 0.9638], [-0.1260, -3.8175, -1.6686], [-0.2895, -5.0192, 6.2992]],
  "species": ["Ga", "Ga", "Zr", "Zr", "F", "F", "F", "F"],
  "frac_coords": [[0.5000, 0.5000, 0.0000], [0.2500, 0.7500, 0.5000], [0.0000, 0.0000, 0.0000], [0.7500, 0.2500, 0.5000], [0.7360, 0.1250, 0.2500], [0.0140, 0.6250, 0.2500], [0.3750, 0.2640, 0.7500], [0.8750, 0.9860, 0.7500]]
}

=====

Record 11
{
  "formula": "LiZnHg2",
  "functional": "GGA-PBE",
  "state": "optimized geometry",
  "final_energy_ev_per_atom": -1.104,
  "formation_enthalpy_0k_ev_per_atom": -0.156,
  "n_ef_per_ev_cell": 0.98,
  "vol_a3_per_atom": 19.399,
  "cell": [[-2.2731, -2.0202, 1.8589], [2.1942, -2.4987, -0.0325], [4.8533, -0.3523, 5.5520]],
  "species": ["Zn", "Hg", "Hg", "Li"],
  "frac_coords": [[0.5000, 0.7500, 0.7500], [0.0000, 0.9973, 0.0048], [0.0000, 0.5027, 0.4952], [0.5000, 0.2500, 0.2500]]
}

=====

Record 12
{
  "formula": "Sm2Th3Tc2",
  "functional": "GGA-PBE",
  "state": "optimized geometry",
  "final_energy_ev_per_atom": -7.597,
  "formation_enthalpy_0k_ev_per_atom": -0.107,
  "n_ef_per_ev_cell": 7.15,
  "vol_a3_per_atom": 27.690,
  "cell": [[-1.3979, 3.6096, 0.9306], [-5.4883, -0.7487, 3.1752], [1.6499, 0.6807, 8.3532]],
  "species": ["Sm", "Sm", "Th", "Th", "Th", "Tc", "Tc"],
  "frac_coords": [[0.1630, 0.4825, 0.1914], [0.8370, 0.5175, 0.8086], [0.5000, 0.0000, 0.0000], [0.3825, 0.8014, 0.4336], [0.6175, 0.1986, 0.5664], [0.1620, 0.9150, 0.7611], [0.8380, 0.0850, 0.2389]]
}

=====

Record 13
{
  "formula": "Rb3H8Os",
  "functional": "GGA-PBE",
  "state": "optimized geometry",
  "final_energy_ev_per_atom": -3.564,
  "n_ef_per_ev_cell": 3.81,
  "vol_a3_per_atom": 15.949,
  "cell": [[6.7801, 0.0000, 0.0000], [-3.3901, 4.1633, 3.3901], [0.0000, 0.0000, 6.7801]],
  "species": ["Rb", "Rb", "Rb", "H", "H", "H", "H", "H", "H", "H", "H", "Os"],
  "frac_coords": [[0.7500, 0.5000, 0.7500], [0.2500, 0.5000, 0.2500], [0.5000, 0.0000, 0.5000], [0.2651, 0.3262, 0.9388], [0.0612, 0.3262, 0.7349], [0.7349, 0.6738, 0.2651], [0.9388, 0.6738, 0.0612], [0.7754, 0.8955, 0.8799], [0.1201, 0.8955, 0.2246], [0.2246, 0.1045, 0.7754], [0.8799, 0.1045, 0.1201], [0.0000, 0.0000, 0.0000]]
}

=====

Record 14
{
  "formula": "CoSbN3",
  "functional": "GGA-PBE",
  "state": "optimized geometry",
  "final_energy_ev_per_atom": -5.947,
  "e_form_raw_ev_per_atom": 1.294,
  "n_ef_per_ev_cell": 4.26,
  "vol_a3_per_atom": 10.522,
  "cell": [[3.7470, 0.0000, 0.0000], [0.0000, 3.7470, 0.0000], [0.0000, 0.0000, 3.7470]],
  "species": ["Sb", "Co", "N", "N", "N"],
  "frac_coords": [[0.5000, 0.5000, 0.5000], [0.0000, 0.0000, 0.0000], [0.0000, 0.5000, 0.0000], [0.0000, 0.0000, 0.5000], [0.5000, 0.0000, 0.0000]]
}

=====

Record 15
{
  "formula": "FeHg2Pt",
  "functional": "GGA-PBE",
  "state": "optimized geometry",
  "final_energy_ev_per_atom": -3.492,
  "formation_enthalpy_0k_ev_per_atom": 0.284,
  "n_ef_per_ev_cell": 3.32,
  "vol_a3_per_atom": 17.563,
  "cell": [[-0.9115, 2.1714, -1.8318], [2.0534, -1.5844, -2.8999], [-4.7965, -3.3396, -1.5719]],
  "species": ["Fe", "Hg", "Hg", "Pt"],
  "frac_coords": [[0.5000, 0.5000, 0.7500], [0.0000, 0.0000, 0.9932], [0.0000, 0.0000, 0.5068], [0.5000, 0.5000, 0.2500]]
}

=====

Record 16
{
  "formula": "Hg2HOsO6",
  "functional": "GGA-PBE",
  "state": "optimized geometry",
  "final_energy_ev_per_atom": -5.164,
  "n_ef_per_ev_cell": 1.62,
  "vol_a3_per_atom": 16.898,
  "cell": [[6.4897, 1.2995, -0.4111], [1.3471, 6.1172, -0.1977], [-4.3477, -4.0095, 4.7887]],
  "species": ["Hg", "Hg", "H", "Os", "O", "O", "O", "O", "O", "O"],
  "frac_coords": [[0.7746, 0.2711, 0.6440], [0.2878, 0.7771, 0.6378], [0.8043, 0.8032, 0.2054], [0.9963, 0.9936, 0.0410], [0.7062, 0.7090, 0.8965], [0.8647, 0.8456, 0.3925], [0.2232, 0.2087, 0.1435], [0.6695, 0.0165, 0.7374], [0.0293, 0.2099, 0.3647], [0.1429, 0.6693, 0.9350]]
}

=====

Record 17
{
  "formula": "ZnCdO2",
  "functional": "GGA-PBE",
  "state": "optimized geometry",
  "final_energy_ev_per_atom": -4.126,
  "e_form_raw_ev_per_atom": -1.099,
  "n_ef_per_ev_cell": 0.06,
  "vol_a3_per_atom": 12.215,
  "cell": [[5.6291, 0.0000, 0.0000], [0.0000, 3.1990, 0.0000], [0.0000, 0.0000, 10.8534]],
  "species": ["Zn", "Zn", "Zn", "Zn", "O", "O", "O", "O", "O", "O", "O", "O", "Cd", "Cd", "Cd", "Cd"],
  "frac_coords": [[0.1072, 0.2500, 0.6093], [0.3928, 0.7500, 0.1093], [0.8928, 0.7500, 0.3907], [0.6072, 0.2500, 0.8907], [0.7611, 0.2500, 0.4831], [0.7389, 0.7500, 0.9831], [0.2389, 0.7500, 0.5169], [0.2611, 0.2500, 0.0169], [0.3728, 0.2500, 0.7530], [0.1272, 0.7500, 0.2530], [0.6272, 0.7500, 0.2470], [0.8728, 0.2500, 0.7470], [0.3948, 0.2500, 0.3595], [0.1052, 0.7500, 0.8595], [0.6052, 0.7500, 0.6405], [0.8948, 0.2500, 0.1405]]
}

=====

Record 18
{
  "formula": "Rb3P5I12",
  "functional": "GGA-PBE",
  "state": "optimized geometry",
  "final_energy_ev_per_atom": -2.600,
  "e_form_raw_ev_per_atom": -0.172,
  "n_ef_per_ev_cell": 28.98,
  "vol_a3_per_atom": 45.315,
  "cell": [[16.7617, 0.0000, 0.0000], [-5.5872, 15.8030, 0.0000], [-5.5872, -7.9015, 13.6858]],
  "species": ["Rb", "Rb", "Rb", "Rb", "Rb", "Rb", "Rb", "Rb", "Rb", "Rb", "Rb", "Rb", "P", "P", "P", "P", "P", "P", "P", "P", "P", "P", "P", "P", "P", "P", "P", "P", "P", "P", "P", "P", "I", "I", "I", "I", "I", "I", "I", "I", "I", "I", "I", "I", "I", "I", "I", "I", "I", "I", "I", "I", "I", "I", "I", "I", "I", "I", "I", "I", "I", "I", "I", "I", "I", "I", "I", "I", "I", "I", "I", "I", "I", "I", "I", "I", "I", "I", "I", "I"],
  "frac_coords": [[0.7500, 0.3750, 0.1250], [0.8750, 0.7500, 0.1250], [0.3750, 0.7500, 0.6250], [0.2500, 0.1250, 0.3750], [0.8750, 0.1250, 0.2500], [0.3750, 0.6250, 0.2500], [0.6250, 0.3750, 0.7500], [0.1250, 0.8750, 0.7500], [0.7500, 0.8750, 0.6250], [0.6250, 0.2500, 0.3750], [0.1250, 0.2500, 0.8750], [0.2500, 0.6250, 0.8750], [0.1250, 0.3750, 0.2500], [0.0000, 0.5000, 0.0000], [0.0000, 0.0000, 0.0000], [0.3750, 0.2500, 0.1250], [0.5000, 0.0000, 0.5000], [0.5000, 0.5000, 0.0000], [0.1250, 0.7500, 0.3750], [0.7500, 0.1250, 0.8750], [0.7500, 0.6250, 0.3750], [0.3750, 0.1250, 0.7500], [0.6250, 0.8750, 0.2500], [0.5000, 0.5000, 0.5000], [0.5000, 0.0000, 0.0000], [0.0000, 0.0000, 0.5000], [0.2500, 0.3750, 0.6250], [0.2500, 0.8750, 0.1250], [0.0000, 0.5000, 0.5000], [0.8750, 0.2500, 0.6250], [0.6250, 0.7500, 0.8750], [0.8750, 0.6250, 0.7500], [0.6731, 0.0986, 0.9886], [0.3155, 0.4886, 0.3900], [0.0114, 0.4014, 0.3269], [0.4886, 0.1731, 0.0986], [0.5745, 0.6731, 0.6845], [0.0114, 0.6100, 0.1845], [0.3155, 0.8269, 0.4255], [0.1100, 0.9255, 0.0986], [0.6100, 0.0114, 0.6845], [0.6731, 0.5745, 0.1845], [0.8269, 0.5114, 0.4014], [0.8155, 0.8900, 0.9886], [0.0986, 0.6731, 0.4886], [0.4014, 0.3900, 0.0745], [0.0745, 0.8900, 0.4014], [0.4255, 0.0986, 0.6100], [0.0745, 0.1845, 0.1731], [0.5114, 0.6845, 0.1100], [0.8155, 0.9255, 0.3269], [0.0986, 0.4255, 0.1100], [0.4014, 0.0114, 0.8269], [0.6100, 0.5986, 0.4255], [0.8900, 0.8155, 0.4886], [0.8269, 0.3155, 0.9255], [0.3900, 0.4014, 0.5745], [0.1100, 0.1845, 0.5114], [0.1731, 0.6845, 0.0745], [0.1845, 0.0745, 0.6731], [0.5986, 0.9886, 0.1731], [0.9014, 0.5745, 0.8900], [0.4886, 0.3155, 0.8900], [0.5745, 0.9014, 0.3900], [0.9255, 0.8155, 0.8269], [0.9255, 0.1100, 0.5986], [0.9014, 0.3269, 0.5114], [0.1845, 0.1100, 0.0114], [0.5986, 0.6100, 0.9255], [0.3900, 0.9886, 0.3155], [0.3269, 0.4255, 0.8155], [0.1731, 0.4886, 0.5986], [0.8900, 0.0745, 0.9014], [0.6845, 0.1731, 0.5745], [0.5114, 0.8269, 0.9014], [0.9886, 0.3900, 0.8155], [0.4255, 0.3269, 0.3155], [0.9886, 0.5986, 0.6731], [0.6845, 0.5114, 0.6100], [0.3269, 0.9014, 0.0114]]
}

=====

Record 19
{
  "formula": "VP3N",
  "functional": "GGA-PBE",
  "state": "optimized geometry",
  "final_energy_ev_per_atom": -5.491,
  "e_form_raw_ev_per_atom": 1.244,
  "n_ef_per_ev_cell": 1.81,
  "vol_a3_per_atom": 18.059,
  "cell": [[4.4863, 0.0000, 0.0000], [0.0000, 4.4863, 0.0000], [0.0000, 0.0000, 4.4863]],
  "species": ["P", "P", "P", "V", "N"],
  "frac_coords": [[0.0000, 0.5000, 0.0000], [0.0000, 0.0000, 0.5000], [0.5000, 0.0000, 0.0000], [0.0000, 0.0000, 0.0000], [0.5000, 0.5000, 0.5000]]
}

=====

Record 20
{
  "formula": "CrCd2SnB",
  "functional": "GGA-PBE",
  "state": "optimized geometry",
  "final_energy_ev_per_atom": -3.540,
  "formation_enthalpy_0k_ev_per_atom": 0.887,
  "n_ef_per_ev_cell": 3.12,
  "vol_a3_per_atom": 22.341,
  "cell": [[-3.8071, 3.6354, 0.1621], [-2.0936, -2.0699, -2.7481], [-2.3973, -2.6821, 3.8465]],
  "species": ["Cr", "B", "Sn", "Cd", "Cd"],
  "frac_coords": [[0.0000, 0.0000, 0.0000], [0.0000, 0.5000, 0.0000], [0.5000, 0.5000, 0.5000], [0.0000, 0.0000, 0.5000], [0.5000, 0.0000, 0.0000]]
}

=====

Record 21
{
  "formula": "Sm2CdSb",
  "functional": "GGA-PBE",
  "state": "optimized geometry",
  "final_energy_ev_per_atom": -4.213,
  "e_form_raw_ev_per_atom": -0.594,
  "n_ef_per_ev_cell": 4.47,
  "vol_a3_per_atom": 31.694,
  "cell": [[-0.4239, 0.4868, 4.3142], [-3.8648, -0.6860, 1.9030], [0.3844, -7.4734, 3.0864]],
  "species": ["Sb", "Sm", "Sm", "Cd"],
  "frac_coords": [[0.0000, 0.0000, 0.0000], [0.2559, 0.2559, 0.2322], [0.7441, 0.7441, 0.7678], [0.5000, 0.5000, 0.5000]]
}